1.
{
  "formula": "NdP2PdO8",
  "functional": "GGA-PBE",
  "state": "optimized geometry",
  "e_tot_ev_per_cell": -84.938,
  "spacegroup": "P-3m1 (164)",
  "volume_a3_per_atom": 13.52,
  "magmom_total_mub_per_atom": 0.084,
  "lattice": [[5.188, 0.000, 0.000], [-2.594, 4.493, 0.000], [0.000, 0.000, 6.961]],
  "species": ["P", "P", "O", "O", "O", "O", "O", "O", "O", "O", "Nd", "Pd"],
  "fractional_positions": [[0.333, 0.667, 0.726], [0.667, 0.333, 0.274], [0.832, 0.168, 0.212], [0.665, 0.832, 0.788], [0.168, 0.335, 0.788], [0.333, 0.667, 0.505], [0.832, 0.665, 0.212], [0.667, 0.333, 0.495], [0.335, 0.168, 0.212], [0.168, 0.832, 0.788], [0.000, 0.000, 0.500], [0.000, 0.000, 0.000]]
}



2.
{
  "formula": "KEuSb4",
  "functional": "GGA-PBE",
  "state": "optimized geometry",
  "e_tot_ev_per_cell": -29.647,
  "spacegroup": "F-43m (216)",
  "volume_a3_per_atom": 32.10,
  "magmom_total_mub_per_atom": 1.157,
  "lattice": [[6.482, 0.000, 0.000], [3.241, 5.614, 0.000], [3.241, 1.871, 5.293]],
  "species": ["Sb", "Sb", "Sb", "Sb", "K", "Eu"],
  "fractional_positions": [[0.625, 0.625, 0.625], [0.625, 0.125, 0.625], [0.125, 0.625, 0.625], [0.625, 0.625, 0.125], [0.000, 0.000, 0.000], [0.250, 0.250, 0.250]]
}



Raw formation energy
In order: -2.0410, -0.2977
Unit: eV per atom